A relaxed structure of RbAg2F4. Source: Alexandria via LeMat-Bulk, functional PBE-GGA. Values from VASP.

Cell and atoms, written as Quantum ESPRESSO input:
```
&SYSTEM
  ibrav = 0, nat = 7, ntyp = 3
/
ATOMIC_SPECIES
Rb 85.47 Rb.upf
Ag 107.87 Ag.upf
F 19.00 F.upf
CELL_PARAMETERS angstrom
-3.9056 3.9056 2.7927
3.9056 -3.9056 2.7927
3.9056 3.9056 -2.7927
ATOMIC_POSITIONS angstrom
Rb 0.0000 0.0000 0.0000
Ag 3.9056 0.0000 1.3963
Ag 0.0000 3.9056 1.3963
F 3.9056 1.7516 0.0000
F 1.7516 3.9056 0.0000
F 2.1539 0.0000 2.7927
F 0.0000 2.1539 2.7927
```

Calculated values
N(E_F), states/eV per cell: 9.117
Crystal system: tetragonal
E, eV per atom: -3.280
Total magnetization, μB per atom: 0.16
Formation energy from raw total energies, eV/atom: -1.258